# 1
The following is a GGA-PBE calculation of a relaxed BC crystal, from Alexandria via LeMat-Bulk.

Cell and atoms, written as CIF:
```
data_BC
_symmetry_space_group_name_H-M 'C 1 2 1'
_symmetry_Int_Tables_number 5
_cell_length_a 11.4412
_cell_length_b 3.7826
_cell_length_c 3.7954
_cell_angle_alpha 90.00
_cell_angle_beta 92.07
_cell_angle_gamma 90.00
loop_
_symmetry_equiv_pos_as_xyz
'x,y,z'
'-x,y,-z'
'x+1/2,y+1/2,z'
'-x+1/2,y+1/2,-z'
loop_
_atom_site_label
_atom_site_fract_x
_atom_site_fract_y
_atom_site_fract_z
B1 0.0745 0.0000 0.2160
B2 0.1530 0.6979 0.5048
B3 0.2486 0.4995 0.2044
C1 0.0000 0.2253 0.5000
C2 0.0000 0.6927 0.0000
C3 0.0767 0.4707 0.7554
C4 0.1578 0.2379 0.9897
```

# 2
The following is a GGA-PBE calculation of a relaxed BC crystal, from Alexandria via LeMat-Bulk.

Cell and atoms, written as CIF:
```
data_BC
_symmetry_space_group_name_H-M 'P 3 m 1'
_symmetry_Int_Tables_number 156
_cell_length_a 2.6238
_cell_length_b 2.6238
_cell_length_c 14.9772
_cell_angle_alpha 90.00
_cell_angle_beta 90.00
_cell_angle_gamma 120.00
loop_
_symmetry_equiv_pos_as_xyz
'x,y,z'
'-y,x-y,z'
'-x+y,-x,z'
'-y,-x,z'
'-x+y,y,z'
'x,x-y,z'
loop_
_atom_site_label
_atom_site_fract_x
_atom_site_fract_y
_atom_site_fract_z
B1 0.0000 0.0000 0.0000
B2 0.0000 0.0000 0.2417
B3 0.0000 0.0000 0.6688
B4 0.3333 0.6667 0.3544
B5 0.3333 0.6667 0.7355
B6 0.6667 0.3333 0.4229
C1 0.0000 0.0000 0.5634
C2 0.3333 0.6667 0.2497
C3 0.3333 0.6667 0.8415
C4 0.6667 0.3333 0.5279
C5 0.6667 0.3333 0.8756
C6 0.6667 0.3333 0.9859
```

Number 1: DFT total energy -0.276 hartree per atom, relative energy among the computed polymorphs 0.300 eV per atom, size of the total moment 0.00 μB/f.u.. Number 2: DFT total energy -0.280 hartree per atom, relative energy among the computed polymorphs 0.189 eV per atom, size of the total moment 0.00 μB/f.u..